A relaxed structure of Ir3C. Source: Alexandria via LeMat-Bulk, functional PBEsol.

abc: 3.847 3.847 7.957
angles: 103.99 103.99 90.00
Element x y z (fractional)
C1 0.446 0.446 0.892
Ir1 0.865 0.865 0.729
Ir2 0.250 0.750 0.500
Ir3 0.000 0.500 0.000
Ir4 0.750 0.250 0.500
C2 0.554 0.554 0.108
Ir5 0.500 0.000 0.000
Ir6 0.135 0.135 0.271

Results
Its symmetry is I4/mmm. The energy of formation is 1.227 eV/atom. For the offset from the most stable computed form, the calculation gives 581 meV per atom.